# 1
A relaxed structure of ZrCo2SCl, computed with PBE-GGA.

Computed properties:
* ΔE_f (raw): 154 kJ/mol of formula units

Geometry as CIF:
```
data_ZrCo2SCl
_cell_length_a 4.016
_cell_length_b 4.016
_cell_length_c 5.108
_cell_angle_alpha 90.00
_cell_angle_beta 90.00
_cell_angle_gamma 90.00
_symmetry_space_group_name_H-M 'P 4/m m m'
_symmetry_Int_Tables_number 123
_symmetry_space_group_name_Hall '-P 4 2'
loop_
_atom_site_label
_atom_site_type_symbol
_atom_site_fract_x
_atom_site_fract_y
_atom_site_fract_z
Zr1 Zr 0.000 0.000 0.000
Co1 Co 0.000 0.500 0.500
S1 S 0.500 0.500 0.000
Cl1 Cl 0.000 0.000 0.500
```

=====

# 2
A relaxed structure of KSmAu2, computed with PBE-GGA.

Computed properties:
* ΔE to the lowest computed polymorph: 146 meV per atom
* ΔH_f (0 K): -41.4 kJ per mole of atoms

Geometry as CIF:
```
data_KSmAu2
_cell_length_a 5.449
_cell_length_b 5.449
_cell_length_c 3.501
_cell_angle_alpha 90.00
_cell_angle_beta 90.00
_cell_angle_gamma 90.00
_symmetry_space_group_name_H-M 'P 4/m m m'
_symmetry_Int_Tables_number 123
_symmetry_space_group_name_Hall '-P 4 2'
loop_
_atom_site_label
_atom_site_type_symbol
_atom_site_fract_x
_atom_site_fract_y
_atom_site_fract_z
K1 K 0.000 0.000 0.000
Sm1 Sm 0.500 0.500 0.000
Au1 Au 0.000 0.500 0.500
```

=====

# 3
A relaxed structure of TbTh2Tl, computed with PBE-GGA.

Computed properties:
* ΔE to the lowest computed polymorph: 0 meV per atom
* ΔH_f (0 K): -9.8 kJ per mole of atoms

Geometry as CIF:
```
data_TbTh2Tl
_cell_length_a 4.829
_cell_length_b 4.829
_cell_length_c 5.121
_cell_angle_alpha 90.00
_cell_angle_beta 90.00
_cell_angle_gamma 90.00
_symmetry_space_group_name_H-M 'P 4/m m m'
_symmetry_Int_Tables_number 123
_symmetry_space_group_name_Hall '-P 4 2'
loop_
_atom_site_label
_atom_site_type_symbol
_atom_site_fract_x
_atom_site_fract_y
_atom_site_fract_z
Tb1 Tb 0.000 0.000 0.000
Th1 Th 0.000 0.500 0.500
Tl1 Tl 0.500 0.500 0.000
```

=====

# 4
A relaxed structure of DyCo2Sn8, computed with PBE-GGA.

Computed properties:
* ΔH_f (0 K): -9.7 kJ per mole of atoms

Geometry as CIF:
```
data_DyCo2Sn8
_cell_length_a 8.257
_cell_length_b 12.794
_cell_length_c 4.907
_cell_angle_alpha 90.00
_cell_angle_beta 95.43
_cell_angle_gamma 90.00
_symmetry_space_group_name_H-M 'C 1 2/m 1'
_symmetry_Int_Tables_number 12
_symmetry_space_group_name_Hall '-C 2y'
loop_
_atom_site_label
_atom_site_type_symbol
_atom_site_fract_x
_atom_site_fract_y
_atom_site_fract_z
Dy1 Dy 0.000 0.000 0.000
Co1 Co 0.000 0.325 0.500
Sn1 Sn 0.000 0.265 0.000
Sn2 Sn 0.111 0.500 0.777
Sn3 Sn 0.198 0.141 0.608
```

=====

# 5
A relaxed structure of Tm2Mg7Sc2, computed with PBE-GGA.

Computed properties:
* ΔH_f (0 K): 7.6 kJ per mole of atoms

Geometry as CIF:
```
data_Tm2Mg7Sc2
_cell_length_a 5.179
_cell_length_b 14.033
_cell_length_c 7.640
_cell_angle_alpha 90.00
_cell_angle_beta 90.00
_cell_angle_gamma 90.00
_symmetry_space_group_name_H-M 'I m m 2'
_symmetry_Int_Tables_number 44
_symmetry_space_group_name_Hall 'I 2 -2'
loop_
_atom_site_label
_atom_site_type_symbol
_atom_site_fract_x
_atom_site_fract_y
_atom_site_fract_z
Tm1 Tm 0.000 0.218 0.000
Mg1 Mg 0.000 0.000 0.226
Mg2 Mg 0.000 0.150 0.518
Mg3 Mg 0.000 0.366 0.309
Mg4 Mg 0.000 0.379 0.686
Sc1 Sc 0.000 0.000 0.818
Sc2 Sc 0.000 0.500 0.013
```

=====

# 6
A relaxed structure of TlWCl, computed with PBE-GGA.

Computed properties:
* ΔE to the lowest computed polymorph: 1011 meV per atom
* ΔE_f (raw): 405 kJ/mol of formula units

Geometry as CIF:
```
data_TlWCl
_cell_length_a 6.814
_cell_length_b 6.814
_cell_length_c 6.814
_cell_angle_alpha 90.00
_cell_angle_beta 90.00
_cell_angle_gamma 90.00
_symmetry_space_group_name_H-M 'F -4 3 m'
_symmetry_Int_Tables_number 216
_symmetry_space_group_name_Hall 'F -4 2 3'
loop_
_atom_site_label
_atom_site_type_symbol
_atom_site_fract_x
_atom_site_fract_y
_atom_site_fract_z
Tl1 Tl 0.000 0.000 0.000
W1 W 0.250 0.250 0.250
Cl1 Cl 0.000 0.000 0.500
```

=====

# 7
A relaxed structure of YHo3Pu2Te6, computed with PBE-GGA.

Computed properties:
* ΔE_f (raw): -1425 kJ/mol of formula units

Geometry as CIF:
```
data_YHo3Pu2Te6
_cell_length_a 19.088
_cell_length_b 4.352
_cell_length_c 8.780
_cell_angle_alpha 90.00
_cell_angle_beta 103.72
_cell_angle_gamma 90.00
_symmetry_space_group_name_H-M 'C 1 2/m 1'
_symmetry_Int_Tables_number 12
_symmetry_space_group_name_Hall '-C 2y'
loop_
_atom_site_label
_atom_site_type_symbol
_atom_site_fract_x
_atom_site_fract_y
_atom_site_fract_z
Y1 Y 0.000 0.000 0.000
Ho1 Ho 0.000 0.000 0.500
Ho2 Ho 0.168 0.500 0.834
Pu1 Pu 0.166 0.500 0.333
Te1 Te 0.002 0.500 0.749
Te2 Te 0.165 0.000 0.587
Te3 Te 0.167 0.000 0.079
```

=====

# 8
A relaxed structure of Na2BPb, computed with PBE-GGA.

Computed properties:
* ΔE to the lowest computed polymorph: 0 meV per atom
* ΔH_f (0 K): 60.3 kJ per mole of atoms

Geometry as CIF:
```
data_Na2BPb
_cell_length_a 10.793
_cell_length_b 10.793
_cell_length_c 4.633
_cell_angle_alpha 90.00
_cell_angle_beta 90.00
_cell_angle_gamma 90.00
_symmetry_space_group_name_H-M 'I -4 2 d'
_symmetry_Int_Tables_number 122
_symmetry_space_group_name_Hall 'I -4 2bw'
loop_
_atom_site_label
_atom_site_type_symbol
_atom_site_fract_x
_atom_site_fract_y
_atom_site_fract_z
Na1 Na 0.026 0.250 0.125
B1 B 0.000 0.000 0.000
Pb1 Pb 0.000 0.000 0.500
```